1.
DyMgSc2 (PBE, optimized geometry); ΔE_f = 0.052 eV per atom; energy above the lowest structure with this stoichiometry = 56 meV per atom; space-group type = P-1 (2)
1.0
3.274 0.000 0.000
1.637 7.699 0.000
0.000 0.725 8.193
Dy Mg Sc
2 2 4
direct
0.235 0.032 0.313 Dy
0.765 0.968 0.687 Dy
0.466 0.569 0.792 Mg
0.534 0.431 0.208 Mg
0.088 0.323 0.565 Sc
0.148 0.203 0.943 Sc
0.852 0.797 0.057 Sc
0.912 0.677 0.435 Sc

=====

2.
PmSm6Sc (PBE, optimized geometry); ΔE_f = 0.376 eV per atom; energy above the lowest structure with this stoichiometry = 343 meV per atom; space-group type = C2/m (12)
1.0
4.529 -3.573 0.000
4.529 3.573 0.000
-2.497 0.000 8.885
Pm Sm Sc
1 6 1
direct
0.000 0.000 0.000 Pm
0.043 0.557 0.208 Sm
0.133 0.133 0.426 Sm
0.443 0.957 0.792 Sm
0.557 0.043 0.208 Sm
0.867 0.867 0.574 Sm
0.957 0.443 0.792 Sm
0.500 0.500 0.500 Sc

=====

3.
ZrTi2H (PBE, optimized geometry); energy above the lowest structure with this stoichiometry = 957 meV per atom; space-group type = Fm-3m (225)
1.0
0.000 3.169 3.169
3.169 0.000 3.169
3.169 3.169 0.000
Zr Ti H
1 2 1
direct
0.000 0.000 0.000 Zr
0.250 0.250 0.250 Ti
0.750 0.750 0.750 Ti
0.500 0.500 0.500 H

=====

4.
SiSeCl2 (PBE, optimized geometry); uncorrected formation energy = 0.528 eV/atom; energy above the lowest structure with this stoichiometry = 835 meV per atom; space-group type = Cmmm (65)
1.0
3.077 -4.181 0.000
3.077 4.181 0.000
0.000 0.000 3.145
Si Se Cl
1 1 2
direct
0.000 0.000 0.000 Si
0.500 0.500 0.000 Se
0.000 0.500 0.500 Cl
0.500 0.000 0.500 Cl

=====

5.
GdHfCuPt (PBE, optimized geometry); ΔE_f = -0.546 eV per atom; space-group type = F-43m (216)
1.0
0.000 3.402 3.402
3.402 0.000 3.402
3.402 3.402 0.000
Gd Hf Cu Pt
1 1 1 1
direct
0.000 0.000 0.000 Gd
0.500 0.500 0.500 Hf
0.750 0.750 0.750 Cu
0.250 0.250 0.250 Pt

=====

6.
GdLu2Sn (PBE, optimized geometry); ΔE_f = -0.403 eV per atom; space-group type = P4/mmm (123)
1.0
4.783 0.000 0.000
0.000 4.783 0.000
0.000 0.000 4.722
Gd Lu Sn
1 2 1
direct
0.000 0.000 0.000 Gd
0.000 0.500 0.500 Lu
0.500 0.000 0.500 Lu
0.500 0.500 0.000 Sn

=====

7.
PmLuTh2 (PBE, optimized geometry); ΔE_f = 0.063 eV per atom; energy above the lowest structure with this stoichiometry = 6 meV per atom; space-group type = P4/mmm (123)
1.0
3.555 0.000 0.000
0.000 3.555 0.000
0.000 0.000 10.158
Pm Lu Th
1 1 2
direct
0.000 0.000 0.000 Pm
0.000 0.000 0.500 Lu
0.500 0.500 0.257 Th
0.500 0.500 0.743 Th

=====

8.
LaNdY3 (PBE, optimized geometry); ΔE_f = 0.207 eV per atom; energy above the lowest structure with this stoichiometry = 192 meV per atom; space-group type = Imma (74)
1.0
-2.971 3.461 8.322
2.971 -3.461 8.322
2.971 3.461 -8.322
La Nd Y
2 2 6
direct
0.500 0.000 0.000 La
0.500 0.500 0.500 La
0.050 0.300 0.750 Nd
0.950 0.700 0.250 Nd
0.082 0.096 0.986 Y
0.270 0.520 0.750 Y
0.390 0.904 0.486 Y
0.610 0.096 0.514 Y
0.730 0.480 0.250 Y
0.918 0.904 0.014 Y